No. 1
This record from Alexandria via LeMat-Bulk describes a relaxed Mg3CdW crystal. The functional is PBE.

a = 5.0521 Å, b = 5.0521 Å, c = 5.0521 Å
α = 90.00°, β = 90.00°, γ = 90.00°
Space group Pm-3m (No. 221)
Inequivalent atoms, fractional coordinates:
Mg 0.0000 0.0000 0.5000 x3
Cd 0.0000 0.0000 0.0000 x1
W 0.5000 0.5000 0.5000 x1

final energy = -2.396 eV/atom
M_tot = 0.727 μB/atom
ΔE to the lowest computed polymorph = 114 meV/atom

=====

No. 2
This record from Alexandria via LeMat-Bulk describes a relaxed Pr2Sm3Ag4 crystal. The functional is PBE.

a = 7.0255 Å, b = 18.4205 Å, c = 7.8569 Å
α = 90.00°, β = 90.00°, γ = 90.00°
Space group Cmce (No. 64)
Inequivalent atoms, fractional coordinates:
Pr 0.0000 0.0957 0.0785 x8
Sm 0.0000 0.0000 0.5000 x4
Sm 0.2500 0.2426 0.7500 x8
Ag 0.0000 0.1623 0.4853 x8
Ag 0.2500 0.0743 0.7500 x8

final energy = -4.034 eV/atom
M_tot = 0.000 μB/atom

=====

No. 3
This record from Alexandria via LeMat-Bulk describes a relaxed CdWSe2N crystal. The functional is PBE.

a = 5.2378 Å, b = 5.2378 Å, c = 3.9002 Å
α = 90.00°, β = 90.00°, γ = 90.00°
Space group P4/mmm (No. 123)
Inequivalent atoms, fractional coordinates:
Cd 0.0000 0.0000 0.0000 x1
W 0.5000 0.5000 0.5000 x1
Se 0.0000 0.5000 0.0000 x2
N 0.0000 0.0000 0.5000 x1

final energy = -3.876 eV/atom
formation energy from raw total energies = 9.78 eV per formula unit
M_tot = 0.304 μB/atom
ΔE to the lowest computed polymorph = 1869 meV/atom

=====

No. 4
This record from Alexandria via LeMat-Bulk describes a relaxed HfAl2Br2 crystal. The functional is PBE.

a = 3.4885 Å, b = 3.4885 Å, c = 23.1454 Å
α = 90.00°, β = 90.00°, γ = 90.00°
Space group I4/mmm (No. 139)
Inequivalent atoms, fractional coordinates:
Hf 0.0000 0.0000 0.0000 x2
Al 0.0000 0.5000 0.2500 x4
Br 0.0000 0.0000 0.4305 x4

final energy = -4.165 eV/atom
formation energy from raw total energies = -0.04 eV per formula unit
M_tot = 0.020 μB/atom
ΔE to the lowest computed polymorph = 0 meV/atom

=====

No. 5
This record from Alexandria via LeMat-Bulk describes a relaxed La5Pr2Y crystal. The functional is PBE.

a = 3.6505 Å, b = 11.4126 Å, c = 13.7804 Å
α = 90.00°, β = 90.00°, γ = 90.00°
Space group Immm (No. 71)
Inequivalent atoms, fractional coordinates:
La 0.0000 0.0000 0.0000 x2
La 0.0000 0.2591 0.3733 x8
Pr 0.0000 0.0000 0.2550 x4
Y 0.0000 0.5000 0.0000 x2

final energy = -5.060 eV/atom
M_tot = 0.000 μB/atom
ΔE to the lowest computed polymorph = 0 meV/atom

=====

No. 6
This record from Alexandria via LeMat-Bulk describes a relaxed Tm8Th2In crystal. The functional is PBE.

a = 16.0869 Å, b = 6.4855 Å, c = 6.5736 Å
α = 90.00°, β = 101.49°, γ = 90.00°
Space group C2/m (No. 12)
Inequivalent atoms, fractional coordinates:
Tm 0.0815 0.2412 0.3836 x8
Tm 0.0937 0.0000 0.9171 x4
Tm 0.2486 0.5000 0.3239 x4
Th 0.1904 0.5000 0.8050 x4
In 0.0000 0.5000 0.0000 x2

final energy = -4.757 eV/atom
M_tot = 0.000 μB/atom

=====

Number 6 is which compound?
Tm8Th2In